This record from OQMD describes a relaxed TmMg crystal. The functional is PBE.

space-group type: Pmmn
calculated total energy: -48.213 eV/cell

Cell: 5.346 13.150 6.084 Å, 90.00 90.00 90.00°
Positions (direct):
Tm (0.250, 0.114, 0.112)
Tm (0.250, 0.250, 0.610)
Tm (0.250, 0.386, 0.112)
Tm (0.250, 0.750, 0.735)
Tm (0.750, 0.250, 0.265)
Tm (0.750, 0.614, 0.888)
Tm (0.750, 0.750, 0.390)
Tm (0.750, 0.886, 0.888)
Mg (0.250, 0.503, 0.635)
Mg (0.250, 0.634, 0.212)
Mg (0.250, 0.866, 0.212)
Mg (0.250, 0.997, 0.635)
Mg (0.750, 0.003, 0.365)
Mg (0.750, 0.134, 0.788)
Mg (0.750, 0.366, 0.788)
Mg (0.750, 0.497, 0.365)